A relaxed DyTl2Co3F12 crystal, computed with PBE+U.

- Uncorrected energy: -273.31 eV for the cell shown

The structure in CIF format:
```
data_DyTl2Co3F12
_chemical_formula_sum 'Dy3 Tl6 Co9 F36'
_symmetry_space_group_name_H-M 'R -3 m'
_symmetry_Int_Tables_number 166
_symmetry_space_group_name_Hall '-R 3 2"'
_cell_length_a 7.5108
_cell_length_b 7.5108
_cell_length_c 18.3533
_cell_angle_alpha 90.00
_cell_angle_beta 90.00
_cell_angle_gamma 120.00
loop_
_atom_site_label
_atom_site_type_symbol
_atom_site_fract_x
_atom_site_fract_y
_atom_site_fract_z
Dy1 Dy 0.0000 0.0000 0.0000
Tl1 Tl 0.0000 0.0000 0.3905
Co1 Co 0.0000 0.5000 0.5000
F1 F 0.0398 0.5199 0.6086
F2 F 0.0732 0.5366 0.8461
```